The following is a PBE calculation of a geometry-optimized HoEr7Tm12 structure, from Alexandria via LeMat-Bulk.

**Space-group type**: Im-3 (204)
**DFT total energy**: -74.99 eV/cell
**E above lowest polymorph**: 441 meV/atom
**Calculated formation energy**: 73 kJ per mole of atoms
**Total moment**: 0.000 μB/atom

a = 9.621 Å, b = 9.621 Å, c = 9.621 Å
α = 109.47°, β = 109.47°, γ = 109.47°
Sites, in units of the cell vectors:
Ho 0.000 0.000 0.000
Er 0.000 0.000 0.500
Er 0.000 0.500 0.000
Er 0.000 0.500 0.500
Er 0.500 0.000 0.000
Er 0.500 0.000 0.500
Er 0.500 0.500 0.000
Er 0.500 0.500 0.500
Tm 0.001 0.251 0.750
Tm 0.250 0.501 0.251
Tm 0.250 0.999 0.749
Tm 0.251 0.250 0.501
Tm 0.251 0.750 0.001
Tm 0.499 0.749 0.750
Tm 0.501 0.251 0.250
Tm 0.749 0.250 0.999
Tm 0.749 0.750 0.499
Tm 0.750 0.001 0.251
Tm 0.750 0.499 0.749
Tm 0.999 0.749 0.250